# LaPmNCl GGA-PBE optimized geometry
# Magnetization ... 0.00 Bohr magnetons per cell
# Uncorrected formation energy ... -150.96 kJ per mole of atoms
data_LaPmNCl
_cell_length_a 3.6993
_cell_length_b 3.6993
_cell_length_c 21.6733
_cell_angle_alpha 90.00
_cell_angle_beta 90.00
_cell_angle_gamma 120.00
_symmetry_space_group_name_H-M 'R 3 m'
_symmetry_Int_Tables_number 160
_symmetry_space_group_name_Hall 'R 3 -2"'
loop_
_atom_site_label
_atom_site_fract_x
_atom_site_fract_y
_atom_site_fract_z
_atom_site_occupancy
La1 0.0000 0.0000 0.0000 1
Pm1 0.0000 0.0000 0.7915 1
N1 0.0000 0.0000 0.4012 1
Cl1 0.0000 0.0000 0.2236 1

=====

# RbGaF3 GGA-PBE optimized geometry
# Magnetization ... 0.00 Bohr magnetons per cell
# Uncorrected formation energy ... -226.03 kJ per mole of atoms
data_RbGaF3
_cell_length_a 6.603
_cell_length_b 9.830
_cell_length_c 6.469
_cell_angle_alpha 90.00
_cell_angle_beta 90.00
_cell_angle_gamma 90.00
_symmetry_space_group_name_H-M 'P n m a'
_symmetry_Int_Tables_number 62
loop_
_symmetry_equiv_pos_as_xyz
'x,y,z'
'-x,-y,-z'
'-x+1/2,-y,z+1/2'
'x+1/2,y,-z+1/2'
'x+1/2,-y+1/2,-z+1/2'
'-x+1/2,y+1/2,z+1/2'
'-x,y+1/2,-z'
'x,-y+1/2,z'
loop_
_atom_site_label
_atom_site_fract_x
_atom_site_fract_y
_atom_site_fract_z
_atom_site_occupancy
Rb1 0.000 0.000 0.000 1
Ga1 0.026 0.250 0.454 1
F1 0.125 0.107 0.621 1
F2 0.219 0.250 0.217 1

=====

# CsU3Cu4S12 GGA-PBE optimized geometry
# Magnetization ... 0.00 Bohr magnetons per cell
# Uncorrected formation energy ... -73.71 kJ per mole of atoms
data_CsU3Cu4S12
_cell_length_a 13.7354
_cell_length_b 13.7354
_cell_length_c 9.9175
_cell_angle_alpha 90.00
_cell_angle_beta 90.00
_cell_angle_gamma 120.00
_symmetry_space_group_name_H-M 'R 3 2'
_symmetry_Int_Tables_number 155
_symmetry_space_group_name_Hall 'R 3 2"'
loop_
_atom_site_label
_atom_site_fract_x
_atom_site_fract_y
_atom_site_fract_z
_atom_site_occupancy
Cs1 0.0000 0.0000 0.0000 1
U1 0.0000 0.5633 0.0000 1
Cu1 0.0000 0.0000 0.5000 1
Cu2 0.0000 0.4372 0.5000 1
S1 0.0000 0.5981 0.5000 1
S2 0.0000 0.8386 0.5000 1
S3 0.0570 0.2367 0.1999 1

=====

# TaW GGA-PBE optimized geometry
# Energy of formation from the pure elements ... -0.156 eV per formula unit
# Magnetization ... 0.00 Bohr magnetons per cell
data_TaW
_cell_length_a 10.278
_cell_length_b 3.224
_cell_length_c 6.533
_cell_angle_alpha 90.00
_cell_angle_beta 109.14
_cell_angle_gamma 90.00
_symmetry_space_group_name_H-M 'C 1 2/m 1'
_symmetry_Int_Tables_number 12
loop_
_symmetry_equiv_pos_as_xyz
'x,y,z'
'-x,-y,-z'
'-x,y,-z'
'x,-y,z'
'x+1/2,y+1/2,z'
'-x+1/2,-y+1/2,-z'
'-x+1/2,y+1/2,-z'
'x+1/2,-y+1/2,z'
loop_
_atom_site_label
_atom_site_fract_x
_atom_site_fract_y
_atom_site_fract_z
_atom_site_occupancy
Ta1 0.000 0.000 0.000 1
Ta2 0.167 0.500 0.826 1
W1 0.000 0.000 0.500 1
W2 0.166 0.500 0.339 1

=====

# VGeAsBr GGA-PBE optimized geometry
# Distance to the lowest polymorph of the same formula ... 0.62 eV per formula unit
# Magnetization ... 0.96 Bohr magnetons per cell
# Uncorrected formation energy ... -4.20 kJ per mole of atoms
data_VGeAsBr
_cell_length_a 3.736
_cell_length_b 4.361
_cell_length_c 6.819
_cell_angle_alpha 88.57
_cell_angle_beta 89.87
_cell_angle_gamma 64.69
_symmetry_space_group_name_H-M 'P 1'
_symmetry_Int_Tables_number 1
loop_
_symmetry_equiv_pos_as_xyz
'x,y,z'
loop_
_atom_site_label
_atom_site_fract_x
_atom_site_fract_y
_atom_site_fract_z
_atom_site_occupancy
V1 0.000 0.000 0.000 1
Ge1 0.680 0.639 0.279 1
As1 0.306 0.388 0.060 1
Br1 0.995 0.011 0.656 1

=====

# Pu2MgPt GGA-PBE optimized geometry
# Energy of formation from the pure elements ... -1.180 eV per formula unit
# Magnetization ... 11.62 Bohr magnetons per cell
data_Pu2MgPt
_cell_length_a 4.257
_cell_length_b 4.257
_cell_length_c 4.745
_cell_angle_alpha 90.00
_cell_angle_beta 90.00
_cell_angle_gamma 90.00
_symmetry_space_group_name_H-M 'P 4/m m m'
_symmetry_Int_Tables_number 123
_symmetry_space_group_name_Hall '-P 4 2'
loop_
_atom_site_label
_atom_site_fract_x
_atom_site_fract_y
_atom_site_fract_z
_atom_site_occupancy
Pu1 0.000 0.500 0.000 1
Mg1 0.000 0.000 0.500 1
Pt1 0.500 0.500 0.500 1

=====

# AlMo2As GGA-PBE optimized geometry
# Energy of formation from the pure elements ... 0.937 eV per formula unit
# Distance to the lowest polymorph of the same formula ... 1.80 eV per formula unit
# Magnetization ... 0.00 Bohr magnetons per cell
data_AlMo2As
_cell_length_a 3.899
_cell_length_b 3.899
_cell_length_c 8.219
_cell_angle_alpha 90.00
_cell_angle_beta 90.00
_cell_angle_gamma 90.00
_symmetry_space_group_name_H-M 'I 4/m m m'
_symmetry_Int_Tables_number 139
_symmetry_space_group_name_Hall '-I 4 2'
loop_
_atom_site_label
_atom_site_fract_x
_atom_site_fract_y
_atom_site_fract_z
_atom_site_occupancy
Al1 0.000 0.000 0.000 1
Mo1 0.000 0.500 0.250 1
As1 0.000 0.000 0.500 1

=====

# BaMn3C GGA-PBE optimized geometry
# Energy of formation from the pure elements ... 16.752 eV per formula unit
# Distance to the lowest polymorph of the same formula ... 13.15 eV per formula unit
# Magnetization ... 11.99 Bohr magnetons per cell
data_BaMn3C
_cell_length_a 5.167
_cell_length_b 5.167
_cell_length_c 5.167
_cell_angle_alpha 90.00
_cell_angle_beta 90.00
_cell_angle_gamma 90.00
_symmetry_space_group_name_H-M 'P m -3 m'
_symmetry_Int_Tables_number 221
_symmetry_space_group_name_Hall '-P 4 2 3'
loop_
_atom_site_label
_atom_site_fract_x
_atom_site_fract_y
_atom_site_fract_z
_atom_site_occupancy
Ba1 0.000 0.000 0.000 1
Mn1 0.000 0.000 0.500 1
C1 0.500 0.500 0.500 1